Entry from Alexandria: a geometry-optimized Tb6HC2I3 structure (PBE).

Results
**DOS at the Fermi energy**: 5.87 states/eV per cell
**Final energy**: -61.73 eV per formula unit

The structure in POSCAR format:
```
Tb6HC2I3
1.0
6.580 0.006 -0.007
-3.283 5.702 -0.007
-1.105 -1.914 7.450
I C Tb H
3 2 6 1
Cartesian
-2.191 3.795 3.719 I
1.096 1.897 3.719 I
4.383 -0.001 3.719 I
0.012 3.799 -0.007 C
3.284 1.909 -0.007 C
-1.148 1.987 1.282 Tb
2.138 3.702 1.290 Tb
-0.104 3.796 6.155 Tb
2.295 -0.001 1.282 Tb
3.340 1.807 6.155 Tb
0.054 0.093 6.147 Tb
0.000 0.000 0.000 H
```

Entry from Alexandria: a geometry-optimized Pm3Pr4Dy5 structure (PBE).

Results
**Energy relative to the lowest polymorph listed for this composition**: 0 meV per atom
**DOS at the Fermi energy**: 16.19 states/eV per cell
**Final energy**: -56.19 eV per formula unit
**Calculated formation energy**: 16 meV/atom

The structure in POSCAR format:
```
Pm3Pr4Dy5
1.0
6.986 -0.372 1.889
-5.292 7.575 -6.806
4.136 -3.912 11.782
Pm Dy Pr
3 5 4
Cartesian
2.068 -1.956 5.891 Pm
4.558 -0.279 3.894 Pm
1.271 3.570 2.971 Pm
2.242 1.649 5.931 Dy
3.587 1.642 0.933 Dy
6.743 -0.408 9.797 Dy
5.561 -2.142 6.835 Dy
-0.914 3.698 -2.933 Dy
0.092 1.842 0.001 Pr
4.738 3.383 3.907 Pr
5.737 1.449 6.864 Pr
1.091 -0.093 2.957 Pr
```

Entry from Alexandria: a geometry-optimized Tb4Ir3Pt structure (PBE).

Results
**DOS at the Fermi energy**: 3.14 states/eV per cell
**Final energy**: -58.26 eV per formula unit
**Calculated formation energy**: -890 meV/atom

The structure in POSCAR format:
```
Tb4Ir3Pt
1.0
-0.828 -1.850 2.685
3.895 -2.957 -0.836
5.632 5.798 5.732
Tb Ir Pt
4 3 1
Cartesian
2.816 2.899 2.866 Tb
0.000 0.000 0.000 Tb
3.374 -0.010 1.034 Tb
6.153 2.851 3.863 Tb
4.349 0.496 3.790 Ir
0.995 0.526 2.777 Ir
3.809 3.422 5.641 Ir
1.534 -2.403 0.924 Pt
```

Entry from Alexandria: a geometry-optimized InPSe2 structure (PBE).

Results
**Energy relative to the lowest polymorph listed for this composition**: 186 meV per atom
**DOS at the Fermi energy**: 1.78 states/eV per cell
**Final energy**: -14.70 eV per formula unit
**Raw formation energy**: 0.11 eV/atom

The structure in POSCAR format:
```
InPSe2
1.0
-1.693 3.004 4.801
1.693 -3.004 4.801
1.693 3.004 -4.801
Se P In
2 1 1
Cartesian
0.000 0.000 6.531 Se
0.000 0.000 3.071 Se
0.000 3.004 0.000 P
1.693 0.000 0.000 In
```